A plane-wave DFT calculation with PBE-GGA was carried out for CoGe2MoOs after structural relaxation.

Calculated values
* energy of formation from the pure elements: 150.2 kJ/mol of atoms
* E_tot: -6.12 eV per atom
* D(E_F): 13.4 states/eV/f.u.
* volume: 21.670 Å³ per atom

Geometry as extended XYZ:
```
5
Lattice="-4.4366 1.7841 -0.0369 -0.9925 -2.5480 -3.8696 -1.4768 -3.6155 2.7595" Properties=species:S:1:pos:R:3 pbc="T T T"
Co -3.4529 -2.1897 -0.5735
Ge -0.7384 -1.8077 1.3798
Ge -2.2183 0.8920 -0.0184
Mo 0.0000 0.0000 0.0000
Os -0.4962 -1.2740 -1.9348
```